(1)
The following is a DFT calculation (PBE-GGA) of KY3Ge after structural relaxation.

## Properties
- Energy above the lowest structure with this stoichiometry: 1.2251 eV per atom
- Symmetry: Pm-3m (221)
- Mass density: 4.2 Mg/m³
- Energy of formation from the pure elements: 1.291 eV per atom
- Total DFT energy (no corrections): -18.65 eV/cell

Cell lengths 5.304, 5.304, 5.304 Å; angles 90.00, 90.00, 90.00 degrees
Sites, in units of the cell vectors:
K (0.000, 0.000, 0.000)
Y (0.000, 0.000, 0.500)
Y (0.000, 0.500, 0.000)
Y (0.500, 0.000, 0.000)
Ge (0.500, 0.500, 0.500)

---

(2)
The following is a DFT calculation (PBE-GGA) of KY2Ge after structural relaxation.

## Properties
- Symmetry: I-42d (122)
- Mass density: 3.5 Mg/m³
- Energy of formation from the pure elements: 0.123 eV per atom
- Total DFT energy (no corrections): -36.30 eV/cell

Cell lengths 7.217, 7.217, 7.217 Å; angles 103.31, 103.31, 122.65 degrees
Sites, in units of the cell vectors:
K (0.000, 0.000, 0.000)
K (0.750, 0.250, 0.500)
Y (0.199, 0.125, 0.574)
Y (0.375, 0.801, 0.926)
Y (0.551, 0.625, 0.426)
Y (0.875, 0.449, 0.074)
Ge (0.250, 0.750, 0.500)
Ge (0.500, 0.500, 0.000)

---

(3)
The following is a DFT calculation (PBE-GGA) of KYGe after structural relaxation.

## Properties
- Energy above the lowest structure with this stoichiometry: 0.3964 eV per atom
- Symmetry: P-6m2 (187)
- Mass density: 2.9 Mg/m³
- Energy of formation from the pure elements: 0.015 eV per atom
- Total DFT energy (no corrections): -12.14 eV/cell

Cell lengths 4.889, 4.889, 5.603 Å; angles 90.00, 90.00, 120.00 degrees
Sites, in units of the cell vectors:
K (0.000, 0.000, 0.000)
Y (0.333, 0.667, 0.500)
Ge (0.667, 0.333, 0.500)

---

(4)
The following is a DFT calculation (PBE-GGA) of KYGe after structural relaxation.

## Properties
- Energy above the lowest structure with this stoichiometry: 0.1641 eV per atom
- Symmetry: Pmm2 (25)
- Mass density: 2.9 Mg/m³
- Energy of formation from the pure elements: -0.218 eV per atom
- Total DFT energy (no corrections): -12.83 eV/cell

Cell lengths 4.092, 6.757, 4.095 Å; angles 90.00, 90.00, 90.00 degrees
Sites, in units of the cell vectors:
K (0.000, 0.000, 0.000)
Y (0.500, 0.500, 0.503)
Ge (0.000, 0.500, 0.003)

---

(5)
The following is a DFT calculation (PBE-GGA) of KYGe after structural relaxation.

## Properties
- Energy above the lowest structure with this stoichiometry: 0.1260 eV per atom
- Symmetry: C2 (5)
- Mass density: 3.2 Mg/m³
- Energy of formation from the pure elements: -0.256 eV per atom
- Total DFT energy (no corrections): -25.89 eV/cell

Cell lengths 5.201, 5.201, 8.605 Å; angles 107.56, 107.56, 89.99 degrees
Sites, in units of the cell vectors:
K (0.191, 0.191, 0.381)
K (0.809, 0.809, 0.619)
Y (0.499, 0.001, 0.000)
Y (0.999, 0.501, 0.000)
Ge (0.409, 0.410, 0.819)
Ge (0.590, 0.591, 0.181)

---

(6)
The following is a DFT calculation (PBE-GGA) of K2YGe2 after structural relaxation.

## Properties
- Energy above the lowest structure with this stoichiometry: 0.0141 eV per atom
- Symmetry: P4/mbm (127)
- Mass density: 3.2 Mg/m³
- Energy of formation from the pure elements: -0.039 eV per atom
- Total DFT energy (no corrections): -36.18 eV/cell

Cell lengths 7.523, 7.523, 5.771 Å; angles 90.00, 90.00, 90.00 degrees
Sites, in units of the cell vectors:
K (0.172, 0.328, 0.000)
K (0.328, 0.828, 0.000)
K (0.672, 0.172, 0.000)
K (0.828, 0.672, 0.000)
Y (0.000, 0.000, 0.500)
Y (0.500, 0.500, 0.500)
Ge (0.116, 0.616, 0.500)
Ge (0.384, 0.116, 0.500)
Ge (0.616, 0.884, 0.500)
Ge (0.884, 0.384, 0.500)

---

(7)
The following is a DFT calculation (PBE-GGA) of K2Y2Ge after structural relaxation.

## Properties
- Energy above the lowest structure with this stoichiometry: 0.0000 eV per atom
- Symmetry: I4/mmm (139)
- Mass density: 2.6 Mg/m³
- Energy of formation from the pure elements: 0.655 eV per atom
- Total DFT energy (no corrections): -16.47 eV/cell

Cell lengths 11.214, 11.214, 11.214 Å; angles 157.10, 157.10, 32.61 degrees
Sites, in units of the cell vectors:
K (0.084, 0.084, 0.000)
K (0.916, 0.916, 0.000)
Y (0.250, 0.750, 0.500)
Y (0.750, 0.250, 0.500)
Ge (0.500, 0.500, 0.000)

---

(8)
The following is a DFT calculation (PBE-GGA) of KYGe after structural relaxation.

## Properties
- Energy above the lowest structure with this stoichiometry: 0.0319 eV per atom
- Symmetry: P2_1/m (11)
- Mass density: 3.0 Mg/m³
- Energy of formation from the pure elements: -0.350 eV per atom
- Total DFT energy (no corrections): -26.46 eV/cell

Cell lengths 4.281, 3.966, 13.209 Å; angles 90.00, 99.28, 90.00 degrees
Sites, in units of the cell vectors:
K (0.174, 0.250, 0.350)
K (0.826, 0.750, 0.650)
Y (0.445, 0.250, 0.890)
Y (0.555, 0.750, 0.110)
Ge (0.037, 0.250, 0.075)
Ge (0.963, 0.750, 0.925)

---

(9)
The following is a DFT calculation (PBE-GGA) of KYGe after structural relaxation.

## Properties
- Energy above the lowest structure with this stoichiometry: 0.1450 eV per atom
- Symmetry: I-4m2 (119)
- Mass density: 3.9 Mg/m³
- Energy of formation from the pure elements: -0.237 eV per atom
- Total DFT energy (no corrections): -25.78 eV/cell

Cell lengths 9.603, 9.603, 9.603 Å; angles 153.85, 153.85, 37.32 degrees
Sites, in units of the cell vectors:
K (0.249, 0.249, 0.000)
K (0.751, 0.751, 0.000)
Y (0.562, 0.062, 0.500)
Y (0.938, 0.438, 0.500)
Ge (0.098, 0.598, 0.500)
Ge (0.402, 0.902, 0.500)

---

(10)
The following is a DFT calculation (PBE-GGA) of KY3Ge after structural relaxation.

## Properties
- Energy above the lowest structure with this stoichiometry: 0.0000 eV per atom
- Symmetry: Pm-3m (221)
- Mass density: 3.4 Mg/m³
- Energy of formation from the pure elements: 0.065 eV per atom
- Total DFT energy (no corrections): -24.78 eV/cell

Cell lengths 5.676, 5.676, 5.676 Å; angles 90.00, 90.00, 90.00 degrees
Sites, in units of the cell vectors:
K (0.000, 0.000, 0.000)
Y (0.000, 0.500, 0.500)
Y (0.500, 0.000, 0.500)
Y (0.500, 0.500, 0.000)
Ge (0.500, 0.500, 0.500)

---

(11)
The following is a DFT calculation (PBE-GGA) of KYGe after structural relaxation.

## Properties
- Energy above the lowest structure with this stoichiometry: 0.1807 eV per atom
- Symmetry: I4/mmm (139)
- Mass density: 3.2 Mg/m³
- Energy of formation from the pure elements: -0.201 eV per atom
- Total DFT energy (no corrections): -25.56 eV/cell

Cell lengths 8.346, 8.346, 8.346 Å; angles 143.22, 143.22, 53.00 degrees
Sites, in units of the cell vectors:
K (0.250, 0.750, 0.500)
K (0.750, 0.250, 0.500)
Y (0.000, 0.500, 0.500)
Y (0.500, 0.000, 0.500)
Ge (0.091, 0.091, 0.000)
Ge (0.909, 0.909, 0.000)

---

(12)
The following is a DFT calculation (PBE-GGA) of KYGe2 after structural relaxation.

## Properties
- Energy above the lowest structure with this stoichiometry: 0.1738 eV per atom
- Symmetry: I-42d (122)
- Mass density: 3.2 Mg/m³
- Energy of formation from the pure elements: 0.101 eV per atom
- Total DFT energy (no corrections): -32.78 eV/cell

Cell lengths 10.481, 10.481, 10.481 Å; angles 150.40, 150.40, 42.36 degrees
Sites, in units of the cell vectors:
K (0.000, 0.000, 0.000)
K (0.750, 0.250, 0.500)
Y (0.250, 0.750, 0.500)
Y (0.500, 0.500, 0.000)
Ge (0.268, 0.625, 0.143)
Ge (0.375, 0.518, 0.643)
Ge (0.482, 0.125, 0.857)
Ge (0.875, 0.732, 0.357)

---

(13)
The following is a DFT calculation (PBE-GGA) of KYGe after structural relaxation.

## Properties
- Energy above the lowest structure with this stoichiometry: 0.2480 eV per atom
- Symmetry: Cm (8)
- Mass density: 3.1 Mg/m³
- Energy of formation from the pure elements: -0.134 eV per atom
- Total DFT energy (no corrections): -25.16 eV/cell

Cell lengths 7.215, 7.215, 8.721 Å; angles 124.70, 124.70, 36.23 degrees
Sites, in units of the cell vectors:
K (0.000, 0.000, 0.000)
K (0.245, 0.245, 0.956)
Y (0.609, 0.609, 0.492)
Y (0.873, 0.873, 0.462)
Ge (0.261, 0.261, 0.534)
Ge (0.506, 0.506, 0.696)